Entry 1:
The following is a DFT calculation (PBE-GGA) of crystalline PaHgRh2O8 at its relaxed geometry.

Output
- DOS at the Fermi energy (states/eV/cell) = 6.624
- formation energy without anion corrections (meV per atom) = -961
- total moment (Bohr magnetons per cell) = 1.06
- crystal system = trigonal

Unit cell a=5.889 b=5.889 c=7.060 alpha=90.00 beta=90.00 gamma=120.00
Element x y z (fractional)
Pa: 0.000 0.000 0.000
Hg: 0.000 0.000 0.500
Rh: 0.333 0.667 0.956
Rh: 0.667 0.333 0.044
O: 0.077 0.379 0.117
O: 0.302 0.923 0.117
O: 0.333 0.667 0.708
O: 0.379 0.302 0.883
O: 0.621 0.698 0.117
O: 0.667 0.333 0.292
O: 0.698 0.077 0.883
O: 0.923 0.621 0.883

=====

Entry 2:
The following is a DFT calculation (PBE-GGA) of crystalline PaHgRuO6 at its relaxed geometry.

Output
- DOS at the Fermi energy (states/eV/cell) = 9.755
- formation energy without anion corrections (meV per atom) = -1595
- total moment (Bohr magnetons per cell) = 0.49
- crystal system = orthorhombic

Unit cell a=7.771 b=7.771 c=7.771 alpha=123.52 beta=117.34 gamma=89.34
Element x y z (fractional)
Pa: 0.000 0.000 0.000
Pa: 0.500 0.000 0.500
Hg: 0.270 0.520 0.750
Hg: 0.730 0.480 0.250
Ru: 0.000 0.000 0.500
Ru: 0.000 0.500 0.000
O: 0.044 0.336 0.121
O: 0.044 0.923 0.708
O: 0.049 0.299 0.750
O: 0.285 0.077 0.621
O: 0.285 0.664 0.208
O: 0.312 0.062 0.250
O: 0.688 0.938 0.750
O: 0.715 0.336 0.792
O: 0.715 0.923 0.379
O: 0.951 0.701 0.250
O: 0.956 0.077 0.292
O: 0.956 0.664 0.879

=====

Entry 3:
The following is a DFT calculation (PBE-GGA) of crystalline PaHgSbO6 at its relaxed geometry.

Output
- DOS at the Fermi energy (states/eV/cell) = 7.750
- formation energy without anion corrections (meV per atom) = -1726
- total moment (Bohr magnetons per cell) = 0.51
- crystal system = orthorhombic

Unit cell a=7.752 b=7.752 c=7.752 alpha=122.65 beta=114.63 gamma=92.51
Element x y z (fractional)
Pa: 0.000 0.000 0.000
Pa: 0.500 0.000 0.500
Hg: 0.447 0.697 0.750
Hg: 0.553 0.303 0.250
Sb: 0.000 0.000 0.500
Sb: 0.000 0.500 0.000
O: 0.043 0.321 0.116
O: 0.043 0.927 0.722
O: 0.068 0.318 0.750
O: 0.295 0.073 0.616
O: 0.295 0.679 0.222
O: 0.354 0.104 0.250
O: 0.646 0.896 0.750
O: 0.705 0.321 0.778
O: 0.705 0.927 0.384
O: 0.932 0.682 0.250
O: 0.957 0.073 0.278
O: 0.957 0.679 0.884

=====

Entry 4:
The following is a DFT calculation (PBE-GGA) of crystalline ScPaHg2O8 at its relaxed geometry.

Output
- DOS at the Fermi energy (states/eV/cell) = 2.124
- formation energy without anion corrections (meV per atom) = -1478
- total moment (Bohr magnetons per cell) = 0.00
- crystal system = tetragonal

Unit cell a=6.163 b=6.163 c=6.163 alpha=109.91 beta=109.91 gamma=108.59
Element x y z (fractional)
Sc: 0.000 0.000 0.000
Pa: 0.250 0.750 0.500
Hg: 0.500 0.500 0.000
Hg: 0.750 0.250 0.500
O: 0.249 0.070 0.821
O: 0.249 0.429 0.179
O: 0.322 0.008 0.314
O: 0.571 0.751 0.821
O: 0.694 0.008 0.686
O: 0.930 0.751 0.179
O: 0.992 0.306 0.314
O: 0.992 0.678 0.686

=====

Entry 5:
The following is a DFT calculation (PBE-GGA) of crystalline PaHgSe2O8 at its relaxed geometry.

Output
- DOS at the Fermi energy (states/eV/cell) = 3.963
- formation energy without anion corrections (meV per atom) = -1231
- total moment (Bohr magnetons per cell) = 1.07
- crystal system = trigonal

Unit cell a=5.921 b=5.921 c=9.186 alpha=90.00 beta=90.00 gamma=120.00
Element x y z (fractional)
Pa: 0.000 0.000 0.000
Hg: 0.000 0.000 0.500
Se: 0.333 0.667 0.790
Se: 0.667 0.333 0.210
O: 0.175 0.349 0.863
O: 0.175 0.825 0.863
O: 0.333 0.667 0.613
O: 0.349 0.175 0.137
O: 0.651 0.825 0.863
O: 0.667 0.333 0.387
O: 0.825 0.175 0.137
O: 0.825 0.651 0.137

=====

Entry 6:
The following is a DFT calculation (PBE-GGA) of crystalline PaSiHgO6 at its relaxed geometry.

Output
- DOS at the Fermi energy (states/eV/cell) = 8.075
- formation energy without anion corrections (meV per atom) = -2055
- total moment (Bohr magnetons per cell) = 0.01
- crystal system = trigonal

Unit cell a=5.349 b=5.349 c=4.874 alpha=90.00 beta=90.00 gamma=120.00
Element x y z (fractional)
Pa: 0.000 0.000 0.000
Si: 0.667 0.333 0.000
Hg: 0.333 0.667 0.500
O: 0.382 0.059 0.791
O: 0.382 0.323 0.209
O: 0.677 0.059 0.209
O: 0.677 0.618 0.791
O: 0.941 0.323 0.791
O: 0.941 0.618 0.209

=====

Entry 7:
The following is a DFT calculation (PBE-GGA) of crystalline PaSnHg2O8 at its relaxed geometry.

Output
- DOS at the Fermi energy (states/eV/cell) = 5.697
- formation energy without anion corrections (meV per atom) = -1171
- total moment (Bohr magnetons per cell) = 0.00
- crystal system = tetragonal

Unit cell a=6.140 b=6.140 c=6.140 alpha=111.23 beta=111.23 gamma=106.02
Element x y z (fractional)
Pa: 0.000 0.000 0.000
Sn: 0.250 0.750 0.500
Hg: 0.500 0.500 0.000
Hg: 0.750 0.250 0.500
O: 0.266 0.077 0.812
O: 0.266 0.454 0.188
O: 0.326 0.006 0.320
O: 0.546 0.734 0.812
O: 0.686 0.006 0.680
O: 0.923 0.734 0.188
O: 0.994 0.314 0.320
O: 0.994 0.674 0.680

=====

Entry 8:
The following is a DFT calculation (PBE-GGA) of crystalline PaSn2HgO8 at its relaxed geometry.

Output
- DOS at the Fermi energy (states/eV/cell) = 5.162
- formation energy without anion corrections (meV per atom) = -1599
- total moment (Bohr magnetons per cell) = 0.00
- crystal system = tetragonal

Unit cell a=6.192 b=6.192 c=6.192 alpha=110.27 beta=110.27 gamma=107.89
Element x y z (fractional)
Pa: 0.000 0.000 0.000
Sn: 0.500 0.500 0.000
Sn: 0.750 0.250 0.500
Hg: 0.250 0.750 0.500
O: 0.293 0.108 0.815
O: 0.293 0.478 0.185
O: 0.364 0.069 0.296
O: 0.522 0.707 0.815
O: 0.773 0.069 0.704
O: 0.892 0.707 0.185
O: 0.931 0.227 0.296
O: 0.931 0.636 0.704

=====

Entry 9:
The following is a DFT calculation (PBE-GGA) of crystalline PaSnHgO6 at its relaxed geometry.

Output
- DOS at the Fermi energy (states/eV/cell) = 12.430
- formation energy without anion corrections (meV per atom) = -1836
- total moment (Bohr magnetons per cell) = 1.72
- crystal system = tetragonal

Unit cell a=5.068 b=5.068 c=10.278 alpha=90.00 beta=90.00 gamma=90.00
Element x y z (fractional)
Pa: 0.000 0.000 0.000
Pa: 0.500 0.500 0.500
Sn: 0.000 0.000 0.663
Sn: 0.500 0.500 0.163
Hg: 0.000 0.000 0.330
Hg: 0.500 0.500 0.830
O: 0.181 0.181 0.825
O: 0.196 0.196 0.513
O: 0.209 0.209 0.152
O: 0.291 0.709 0.652
O: 0.304 0.696 0.013
O: 0.319 0.681 0.325
O: 0.681 0.319 0.325
O: 0.696 0.304 0.013
O: 0.709 0.291 0.652
O: 0.791 0.791 0.152
O: 0.804 0.804 0.513
O: 0.819 0.819 0.825

=====

Entry 10:
The following is a DFT calculation (PBE-GGA) of crystalline SrPaHg2O8 at its relaxed geometry.

Output
- DOS at the Fermi energy (states/eV/cell) = 3.968
- formation energy without anion corrections (meV per atom) = -1270
- total moment (Bohr magnetons per cell) = 0.29
- crystal system = tetragonal

Unit cell a=6.427 b=6.427 c=6.427 alpha=116.81 beta=116.81 gamma=95.63
Element x y z (fractional)
Sr: 0.000 0.000 0.000
Pa: 0.750 0.250 0.500
Hg: 0.250 0.750 0.500
Hg: 0.500 0.500 0.000
O: 0.013 0.398 0.385
O: 0.013 0.627 0.615
O: 0.088 0.277 0.811
O: 0.373 0.987 0.385
O: 0.466 0.277 0.189
O: 0.602 0.987 0.615
O: 0.723 0.534 0.811
O: 0.723 0.912 0.189

=====

Entry 11:
The following is a DFT calculation (PBE-GGA) of crystalline SrPaHgO5 at its relaxed geometry.

Output
- DOS at the Fermi energy (states/eV/cell) = 7.800
- formation energy without anion corrections (meV per atom) = -2290
- total moment (Bohr magnetons per cell) = 0.00
- crystal system = monoclinic

Unit cell a=6.426 b=6.426 c=7.936 alpha=105.14 beta=105.14 gamma=103.76
Element x y z (fractional)
Sr: 0.064 0.936 0.750
Sr: 0.936 0.064 0.250
Pa: 0.000 0.500 0.000
Pa: 0.500 0.000 0.500
Hg: 0.475 0.525 0.750
Hg: 0.525 0.475 0.250
O: 0.191 0.261 0.069
O: 0.194 0.636 0.867
O: 0.196 0.804 0.250
O: 0.261 0.191 0.569
O: 0.364 0.806 0.633
O: 0.636 0.194 0.367
O: 0.739 0.809 0.431
O: 0.804 0.196 0.750
O: 0.806 0.364 0.133
O: 0.809 0.739 0.931

=====

Entry 12:
The following is a DFT calculation (PBE-GGA) of crystalline PaTaHgO6 at its relaxed geometry.

Output
- DOS at the Fermi energy (states/eV/cell) = 0.000
- formation energy without anion corrections (meV per atom) = -2495
- total moment (Bohr magnetons per cell) = 0.00
- crystal system = trigonal

Unit cell a=5.677 b=5.677 c=9.587 alpha=90.00 beta=90.00 gamma=120.00
Element x y z (fractional)
Pa: 0.333 0.667 0.250
Pa: 0.667 0.333 0.750
Ta: 0.333 0.667 0.750
Ta: 0.667 0.333 0.250
Hg: 0.000 0.000 0.000
Hg: 0.000 0.000 0.500
O: 0.023 0.377 0.639
O: 0.023 0.646 0.861
O: 0.354 0.377 0.861
O: 0.354 0.977 0.639
O: 0.377 0.023 0.139
O: 0.377 0.354 0.361
O: 0.623 0.646 0.639
O: 0.623 0.977 0.861
O: 0.646 0.023 0.361
O: 0.646 0.623 0.139
O: 0.977 0.354 0.139
O: 0.977 0.623 0.361

=====

Entry 13:
The following is a DFT calculation (PBE-GGA) of crystalline TbPaHg2O8 at its relaxed geometry.

Output
- DOS at the Fermi energy (states/eV/cell) = 3.826
- formation energy without anion corrections (meV per atom) = -1531
- total moment (Bohr magnetons per cell) = 0.00
- crystal system = tetragonal

Unit cell a=6.296 b=6.296 c=6.296 alpha=109.35 beta=109.35 gamma=109.71
Element x y z (fractional)
Tb: 0.000 0.000 0.000
Pa: 0.750 0.250 0.500
Hg: 0.250 0.750 0.500
Hg: 0.500 0.500 0.000
O: 0.009 0.333 0.324
O: 0.009 0.685 0.676
O: 0.075 0.262 0.813
O: 0.315 0.991 0.324
O: 0.450 0.262 0.187
O: 0.667 0.991 0.676
O: 0.738 0.550 0.813
O: 0.738 0.925 0.187

=====

Entry 14:
The following is a DFT calculation (PBE-GGA) of crystalline PaTcHgO6 at its relaxed geometry.

Output
- DOS at the Fermi energy (states/eV/cell) = 0.797
- formation energy without anion corrections (meV per atom) = -1883
- total moment (Bohr magnetons per cell) = 0.00
- crystal system = orthorhombic

Unit cell a=7.860 b=7.860 c=7.860 alpha=124.42 beta=118.33 gamma=87.71
Element x y z (fractional)
Pa: 0.000 0.000 0.000
Pa: 0.500 0.000 0.500
Tc: 0.500 0.000 0.000
Tc: 0.500 0.500 0.500
Hg: 0.182 0.432 0.750
Hg: 0.818 0.568 0.250
O: 0.192 0.942 0.250
O: 0.224 0.330 0.276
O: 0.224 0.948 0.895
O: 0.447 0.052 0.776
O: 0.447 0.670 0.395
O: 0.448 0.698 0.750
O: 0.552 0.302 0.250
O: 0.553 0.330 0.605
O: 0.553 0.948 0.224
O: 0.776 0.052 0.105
O: 0.776 0.670 0.724
O: 0.808 0.058 0.750

=====

Entry 15:
The following is a DFT calculation (PBE-GGA) of crystalline PaTcHg2O8 at its relaxed geometry.

Output
- formation energy without anion corrections (meV per atom) = -1506
- total moment (Bohr magnetons per cell) = 0.00
- crystal system = monoclinic

Unit cell a=5.328 b=5.328 c=6.589 alpha=93.23 beta=93.23 gamma=94.91
Element x y z (fractional)
Pa: 0.000 0.000 0.000
Tc: 0.000 0.000 0.500
Hg: 0.487 0.487 0.743
Hg: 0.513 0.513 0.257
O: 0.158 0.834 0.280
O: 0.166 0.842 0.720
O: 0.262 0.262 0.515
O: 0.287 0.287 0.028
O: 0.713 0.713 0.972
O: 0.738 0.738 0.485
O: 0.834 0.158 0.280
O: 0.842 0.166 0.720

=====

Entry 16:
The following is a DFT calculation (PBE-GGA) of crystalline Pa2HgTeO8 at its relaxed geometry.

Output
- formation energy without anion corrections (meV per atom) = -2312
- total moment (Bohr magnetons per cell) = 0.00
- crystal system = orthorhombic

Unit cell a=5.078 b=5.078 c=7.216 alpha=90.00 beta=90.00 gamma=90.17
Element x y z (fractional)
Pa: 0.000 0.000 0.249
Pa: 0.000 0.000 0.751
Hg: 0.500 0.500 0.000
Te: 0.500 0.500 0.500
O: 0.178 0.822 0.000
O: 0.191 0.809 0.500
O: 0.297 0.297 0.274
O: 0.297 0.297 0.726
O: 0.703 0.703 0.274
O: 0.703 0.703 0.726
O: 0.809 0.191 0.500
O: 0.822 0.178 0.000

=====

Entry 17:
The following is a DFT calculation (PBE-GGA) of crystalline PaHg2TeO8 at its relaxed geometry.

Output
- DOS at the Fermi energy (states/eV/cell) = 7.292
- formation energy without anion corrections (meV per atom) = -1156
- total moment (Bohr magnetons per cell) = 0.00
- crystal system = tetragonal

Unit cell a=6.095 b=6.095 c=6.095 alpha=114.11 beta=114.11 gamma=100.54
Element x y z (fractional)
Pa: 0.000 0.000 0.000
Hg: 0.500 0.500 0.000
Hg: 0.750 0.250 0.500
Te: 0.250 0.750 0.500
O: 0.277 0.074 0.797
O: 0.277 0.480 0.203
O: 0.331 0.012 0.320
O: 0.520 0.723 0.797
O: 0.692 0.012 0.680
O: 0.926 0.723 0.203
O: 0.988 0.308 0.320
O: 0.988 0.669 0.680

=====

Entry 18:
The following is a DFT calculation (PBE-GGA) of crystalline PaHgTeO6 at its relaxed geometry.

Output
- DOS at the Fermi energy (states/eV/cell) = 7.497
- formation energy without anion corrections (meV per atom) = -1666
- total moment (Bohr magnetons per cell) = 0.00
- crystal system = trigonal

Unit cell a=5.737 b=5.737 c=9.799 alpha=90.00 beta=90.00 gamma=120.00
Element x y z (fractional)
Pa: 0.333 0.667 0.250
Pa: 0.667 0.333 0.750
Hg: 0.000 0.000 0.000
Hg: 0.000 0.000 0.500
Te: 0.333 0.667 0.750
Te: 0.667 0.333 0.250
O: 0.021 0.373 0.639
O: 0.021 0.647 0.861
O: 0.353 0.373 0.861
O: 0.353 0.979 0.639
O: 0.373 0.021 0.139
O: 0.373 0.353 0.361
O: 0.627 0.647 0.639
O: 0.627 0.979 0.861
O: 0.647 0.021 0.361
O: 0.647 0.627 0.139
O: 0.979 0.353 0.139
O: 0.979 0.627 0.361

=====

Entry 19:
The following is a DFT calculation (PBE-GGA) of crystalline PaHgTe2O8 at its relaxed geometry.

Output
- DOS at the Fermi energy (states/eV/cell) = 3.298
- formation energy without anion corrections (meV per atom) = -1374
- total moment (Bohr magnetons per cell) = 0.00
- crystal system = tetragonal

Unit cell a=6.319 b=6.319 c=6.319 alpha=108.75 beta=108.75 gamma=110.93
Element x y z (fractional)
Pa: 0.000 0.000 0.000
Hg: 0.750 0.250 0.500
Te: 0.250 0.750 0.500
Te: 0.500 0.500 0.000
O: 0.068 0.355 0.287
O: 0.068 0.781 0.713
O: 0.122 0.307 0.815
O: 0.219 0.932 0.287
O: 0.492 0.307 0.185
O: 0.645 0.932 0.713
O: 0.693 0.508 0.815
O: 0.693 0.878 0.185